[1]
A plane-wave DFT calculation with GGA-PBE was carried out for a geometry-optimized HfIrNO2 structure.

Summary:
As for the total energy: -7.707 eV/atom. For the size of the total moment, the calculation gives 2.79 Bohr magnetons per cell. The calculation puts the volume at 13.81 A^3/atom. The formation energy (no corrections) is -0.295 eV/atom.

Unit cell a=3.9878 b=3.9878 c=4.3437 alpha=90.00 beta=90.00 gamma=90.00
Closest atoms and distances in Å follow each position.
Space group P4/mmm (No. 123)
Unique sites:
Hf 0.0000 0.0000 0.0000 [1 per cell]  4 O 1.99, 2 N 2.17
Ir 0.5000 0.5000 0.5000 [1 per cell]  4 N 2.82, 8 O 2.95
N 0.0000 0.0000 0.5000 [1 per cell]  2 Hf 2.17
O 0.0000 0.5000 0.0000 [2 per cell]  2 Hf 1.99



[2]
A plane-wave DFT calculation with GGA-PBE was carried out for a geometry-optimized HfIrN2O structure.

Summary:
As for the total energy: -7.543 eV/atom. For the size of the total moment, the calculation gives 1.49 Bohr magnetons per cell. The calculation puts the volume at 13.84 A^3/atom. The formation energy (no corrections) is 0.542 eV/atom.

Unit cell a=4.1931 b=4.1931 c=3.9367 alpha=90.00 beta=90.00 gamma=90.00
Closest atoms and distances in Å follow each position.
Space group P4/mmm (No. 123)
Unique sites:
Hf 0.0000 0.0000 0.0000 [1 per cell]  2 O 1.97, 4 N 2.10
Ir 0.5000 0.5000 0.5000 [1 per cell]  8 N 2.88, 4 O 2.97
N 0.0000 0.5000 0.0000 [2 per cell]  2 Hf 2.10
O 0.0000 0.0000 0.5000 [1 per cell]  2 Hf 1.97



[3]
A plane-wave DFT calculation with GGA-PBE was carried out for a geometry-optimized HfPIr2N structure.

Summary:
As for the total energy: -6.789 eV/atom. For the size of the total moment, the calculation gives 2.03 Bohr magnetons per cell. The calculation puts the volume at 19.62 A^3/atom. The formation energy (no corrections) is 1.493 eV/atom.

Unit cell a=4.9702 b=4.9702 c=3.9717 alpha=90.00 beta=90.00 gamma=90.00
Closest atoms and distances in Å follow each position.
Space group P4/mmm (No. 123)
Unique sites:
Hf 0.0000 0.0000 0.0000 [1 per cell]  2 N 1.99
P 0.5000 0.5000 0.5000 [1 per cell]  8 Ir 3.18, 4 N 3.51
Ir 0.0000 0.5000 0.0000 [2 per cell]  2 Hf 2.49
N 0.0000 0.0000 0.5000 [1 per cell]  2 Hf 1.99



[4]
A plane-wave DFT calculation with GGA-PBE was carried out for a geometry-optimized HfPa2IrN5 structure.

Summary:
As for the total energy: -10.009 eV/atom. For the size of the total moment, the calculation gives 0.00 Bohr magnetons per cell. The calculation puts the volume at 12.55 A^3/atom. The formation energy (no corrections) is -1.183 eV/atom.

Unit cell a=3.3395 b=13.0300 c=10.3809 alpha=90.00 beta=90.00 gamma=90.00
Closest atoms and distances in Å follow each position.
Space group Cmc2_1 (No. 36)
Unique sites:
Hf 0.0000 0.2019 0.0000 [4 per cell]  6 N 2.10-2.30
Pa 0.0000 0.1041 0.6727 [4 per cell]  4 N 2.27-2.44
Pa 0.0000 0.1448 0.2945 [4 per cell]  8 N 2.37-2.62
Ir 0.0000 0.4736 0.4412 [4 per cell]  5 N 2.00-2.19
N 0.0000 0.0509 0.0710 [4 per cell]  1 Hf 2.10, 2 Ir 2.17, 1 Pa 2.28
N 0.0000 0.2775 0.6508 [4 per cell]  3 Pa 2.27-2.46, 2 Hf 2.30
N 0.0000 0.3195 0.3571 [4 per cell]  1 Ir 2.19, 2 Hf 2.25, 1 Pa 2.37
N 0.0000 0.3670 0.9842 [4 per cell]  1 Ir 2.13, 1 Hf 2.16
N 0.0000 0.4851 0.7555 [4 per cell]  1 Ir 2.00



[5]
A plane-wave DFT calculation with GGA-PBE was carried out for a geometry-optimized HfIr2RhN structure.

Summary:
As for the total energy: -7.733 eV/atom. For the size of the total moment, the calculation gives 0.05 Bohr magnetons per cell. The calculation puts the volume at 17.57 A^3/atom. The formation energy (no corrections) is 0.938 eV/atom.

Unit cell a=4.9930 b=4.9930 c=3.5232 alpha=90.00 beta=90.00 gamma=90.00
Closest atoms and distances in Å follow each position.
Space group P4/mmm (No. 123)
Unique sites:
Hf 0.0000 0.0000 0.0000 [1 per cell]  8 Ir 3.06
Ir 0.0000 0.5000 0.5000 [2 per cell]  2 Rh 2.50
Rh 0.5000 0.5000 0.5000 [1 per cell]  2 N 1.76
N 0.5000 0.5000 0.0000 [1 per cell]  2 Rh 1.76



[6]
A plane-wave DFT calculation with GGA-PBE was carried out for a geometry-optimized Hf2ScIrN structure.

Summary:
As for the total energy: -9.746 eV/atom. For the size of the total moment, the calculation gives 0.00 Bohr magnetons per cell. The calculation puts the volume at 16.43 A^3/atom. The formation energy (no corrections) is -1.061 eV/atom.

Unit cell a=4.3942 b=4.3942 c=4.2550 alpha=90.00 beta=90.00 gamma=90.00
Closest atoms and distances in Å follow each position.
Space group P4/mmm (No. 123)
Unique sites:
Hf 0.0000 0.5000 0.0000 [2 per cell]  2 N 2.20
Sc 0.0000 0.0000 0.5000 [1 per cell]  2 N 2.13
Ir 0.5000 0.5000 0.5000 [1 per cell]  8 Hf 3.06, 4 Sc 3.11
N 0.0000 0.0000 0.0000 [1 per cell]  2 Sc 2.13, 4 Hf 2.20



[7]
A plane-wave DFT calculation with GGA-PBE was carried out for a geometry-optimized HfScIrN2 structure.

Summary:
As for the total energy: -7.477 eV/atom. For the size of the total moment, the calculation gives 0.00 Bohr magnetons per cell. The calculation puts the volume at 24.82 A^3/atom. The formation energy (no corrections) is 0.883 eV/atom.

Unit cell a=3.9401 b=3.9401 c=7.9949 alpha=90.00 beta=90.00 gamma=90.00
Closest atoms and distances in Å follow each position.
Space group P4/mmm (No. 123)
Unique sites:
Hf 0.0000 0.0000 0.0000 [1 per cell]  4 N 1.97
Sc 0.0000 0.0000 0.5000 [1 per cell]  4 Ir 2.79
Ir 0.5000 0.5000 0.5000 [1 per cell]  4 Sc 2.79
N 0.0000 0.5000 0.0000 [2 per cell]  2 Hf 1.97



[8]
A plane-wave DFT calculation with GGA-PBE was carried out for a geometry-optimized HfIr2SeN structure.

Summary:
As for the total energy: -6.590 eV/atom. For the size of the total moment, the calculation gives 1.80 Bohr magnetons per cell. The calculation puts the volume at 20.11 A^3/atom. The formation energy (no corrections) is 1.307 eV/atom.

Unit cell a=5.0116 b=5.0116 c=4.0029 alpha=90.00 beta=90.00 gamma=90.00
Closest atoms and distances in Å follow each position.
Space group P4/mmm (No. 123)
Unique sites:
Hf 0.0000 0.0000 0.0000 [1 per cell]  2 N 2.00
Ir 0.0000 0.5000 0.0000 [2 per cell]  2 Hf 2.51
Se 0.5000 0.5000 0.5000 [1 per cell]  8 Ir 3.21, 4 N 3.54
N 0.0000 0.0000 0.5000 [1 per cell]  2 Hf 2.00



[9]
A plane-wave DFT calculation with GGA-PBE was carried out for a geometry-optimized HfIrSe2N structure.

Summary:
As for the total energy: -6.151 eV/atom. For the size of the total moment, the calculation gives 0.18 Bohr magnetons per cell. The calculation puts the volume at 20.94 A^3/atom. The formation energy (no corrections) is 0.671 eV/atom.

Unit cell a=5.2054 b=5.2054 c=3.8633 alpha=90.00 beta=90.00 gamma=90.00
Closest atoms and distances in Å follow each position.
Space group P4/mmm (No. 123)
Unique sites:
Hf 0.0000 0.0000 0.0000 [1 per cell]  2 N 1.93
Ir 0.5000 0.5000 0.5000 [1 per cell]  8 Se 3.24
Se 0.0000 0.5000 0.0000 [2 per cell]  2 Hf 2.60
N 0.0000 0.0000 0.5000 [1 per cell]  2 Hf 1.93



[10]
A plane-wave DFT calculation with GGA-PBE was carried out for a geometry-optimized HfIrSe2N structure.

Summary:
As for the total energy: -6.617 eV/atom. For the size of the total moment, the calculation gives 0.32 Bohr magnetons per cell. The calculation puts the volume at 19.09 A^3/atom. The formation energy (no corrections) is 0.205 eV/atom.

Unit cell a=5.1176 b=5.1176 c=3.6444 alpha=90.00 beta=90.00 gamma=90.00
Closest atoms and distances in Å follow each position.
Space group P4/mmm (No. 123)
Unique sites:
Hf 0.0000 0.0000 0.0000 [1 per cell]  8 Se 3.14
Ir 0.5000 0.5000 0.5000 [1 per cell]  2 N 1.82
Se 0.0000 0.5000 0.5000 [2 per cell]  2 Ir 2.56
N 0.5000 0.5000 0.0000 [1 per cell]  2 Ir 1.82



[11]
A plane-wave DFT calculation with GGA-PBE was carried out for a geometry-optimized HfTa2IrN structure.

Summary:
As for the total energy: -10.939 eV/atom. For the size of the total moment, the calculation gives 0.00 Bohr magnetons per cell. The calculation puts the volume at 15.48 A^3/atom. The formation energy (no corrections) is -0.770 eV/atom.

Unit cell a=4.1842 b=4.1842 c=4.4203 alpha=90.00 beta=90.00 gamma=90.00
Closest atoms and distances in Å follow each position.
Space group P4/mmm (No. 123)
Unique sites:
Hf 0.0000 0.0000 0.0000 [1 per cell]  2 N 2.21
Ta 0.0000 0.5000 0.5000 [2 per cell]  2 N 2.09
Ir 0.5000 0.5000 0.0000 [1 per cell]  4 Hf 2.96, 8 Ta 3.04
N 0.0000 0.0000 0.5000 [1 per cell]  4 Ta 2.09, 2 Hf 2.21



[12]
A plane-wave DFT calculation with GGA-PBE was carried out for a geometry-optimized Hf2TaIrN structure.

Summary:
As for the total energy: -10.689 eV/atom. For the size of the total moment, the calculation gives 0.00 Bohr magnetons per cell. The calculation puts the volume at 16.03 A^3/atom. The formation energy (no corrections) is -0.900 eV/atom.

Unit cell a=4.3832 b=4.3832 c=4.1705 alpha=90.00 beta=90.00 gamma=90.00
Closest atoms and distances in Å follow each position.
Space group P4/mmm (No. 123)
Unique sites:
Hf 0.0000 0.5000 0.0000 [2 per cell]  2 N 2.19
Ta 0.0000 0.0000 0.5000 [1 per cell]  2 N 2.09
Ir 0.5000 0.5000 0.5000 [1 per cell]  8 Hf 3.03, 4 Ta 3.10
N 0.0000 0.0000 0.0000 [1 per cell]  2 Ta 2.09, 4 Hf 2.19